<i>
This record from the Alexandria database describes crystalline Ba2LiCo at its relaxed geometry. The functional is GGA-PBE.

a b c (Å): 5.4926 5.5042 8.9432
angles (deg): 90.00 90.00 90.00
With the nearest neighbours (Å) after each atom.
Space group Cmmm (No. 65)
Symmetry-distinct sites (fractional):
Ba (0.0000, 0.0000, 0.2036)  4 Co 3.30, 1 Ba 3.64
Li (0.0000, 0.5000, 0.5000)  8 Ba 3.82, 4 Li 3.89
Co (0.0000, 0.5000, 0.0000)  8 Ba 3.30

Calculated values
The density of states at the Fermi level comes out at 1.524 states/eV/atom.

=====

<ii>
This record from the Alexandria database describes crystalline Ba2LiCo at its relaxed geometry. The functional is GGA-PBE.

a b c (Å): 7.9569 7.9569 7.9569
angles (deg): 90.00 90.00 90.00
With the nearest neighbours (Å) after each atom.
Space group Fm-3m (No. 225)
Symmetry-distinct sites (fractional):
Ba (0.2500, 0.2500, 0.2500)  4 Li 3.45, 4 Co 3.45
Li (0.0000, 0.0000, 0.0000)  8 Ba 3.45
Co (0.0000, 0.0000, 0.5000)  8 Ba 3.45

Calculated values
The density of states at the Fermi level comes out at 1.716 states/eV/atom.

=====

The winner here is <i>, beating the second structure by 62 meV per atom.

=====

<i>
This record from the Alexandria database describes crystalline Ba2LiCo at its relaxed geometry. The functional is GGA-PBE.

a b c (Å): 3.7985 5.4914 12.7320
angles (deg): 90.00 90.00 90.00
With the nearest neighbours (Å) after each atom.
Space group Imm2 (No. 44)
Symmetry-distinct sites (fractional):
Ba (0.0000, 0.0000, 0.0000)  2 Co 3.20
Ba (0.0000, 0.5000, 0.1957)  4 Co 3.34, 2 Li 3.41, 2 Ba 3.71
Li (0.0000, 0.0000, 0.3542)  2 Co 2.71
Co (0.0000, 0.5000, 0.7022)  2 Li 2.71

Calculated values
The density of states at the Fermi level comes out at 1.532 states/eV/atom.

=====

<ii>
This record from the Alexandria database describes crystalline Ba2LiCo at its relaxed geometry. The functional is GGA-PBE.

a b c (Å): 7.7919 7.7919 7.7919
angles (deg): 90.00 90.00 90.00
With the nearest neighbours (Å) after each atom.
Space group F-43m (No. 216)
Symmetry-distinct sites (fractional):
Ba (0.0000, 0.0000, 0.0000)  4 Ba 3.37, 4 Co 3.37
Ba (0.2500, 0.2500, 0.2500)  4 Ba 3.37, 4 Li 3.37
Li (0.0000, 0.0000, 0.5000)  4 Ba 3.37, 4 Co 3.37
Co (0.2500, 0.2500, 0.7500)  4 Ba 3.37, 4 Li 3.37

Calculated values
The density of states at the Fermi level comes out at 2.003 states/eV/atom.

=====

<iii>
This record from the Alexandria database describes crystalline Ba2LiCo at its relaxed geometry. The functional is GGA-PBE.

a b c (Å): 4.6994 4.6345 12.5587
angles (deg): 90.00 90.00 90.00
With the nearest neighbours (Å) after each atom.
Space group Amm2 (No. 38)
Symmetry-distinct sites (fractional):
Ba (0.0000, 0.0000, 0.0000)  2 Li 3.30, 4 Co 3.49
Ba (0.5000, 0.0000, 0.2766)  2 Co 3.29, 4 Li 3.49
Li (0.0000, 0.0000, 0.6869)  2 Co 2.64
Co (0.5000, 0.0000, 0.5906)  2 Li 2.64

Calculated values
The density of states at the Fermi level comes out at 1.402 states/eV/atom.

=====

The winner here is <iii>, beating the second structure by 62 meV per atom.

=====

<i>
This record from the Alexandria database describes crystalline Ba2LiCo at its relaxed geometry. The functional is GGA-PBE.

a b c (Å): 4.8474 4.8474 11.0593
angles (deg): 90.00 90.00 90.00
With the nearest neighbours (Å) after each atom.
Space group I-4m2 (No. 119)
Symmetry-distinct sites (fractional):
Ba (0.0000, 0.0000, 0.0000)  4 Li 3.43, 4 Ba 3.68, 4 Co 3.68
Ba (0.0000, 0.5000, 0.2500)  4 Co 3.43, 4 Li 3.68, 4 Ba 3.68
Li (0.0000, 0.0000, 0.5000)  8 Ba 3.43-3.68, 4 Co 3.68
Co (0.0000, 0.5000, 0.7500)  8 Ba 3.43-3.68, 4 Li 3.68

Calculated values
The density of states at the Fermi level comes out at 1.386 states/eV/atom.

=====

<ii>
This record from the Alexandria database describes crystalline Ba2LiCo at its relaxed geometry. The functional is GGA-PBE.

a b c (Å): 11.2717 11.2717 4.9132
angles (deg): 90.00 90.00 90.00
With the nearest neighbours (Å) after each atom.
Space group I-42d (No. 122)
Symmetry-distinct sites (fractional):
Ba (0.0653, 0.2500, 0.1250)  2 Co 2.98
Li (0.0000, 0.0000, 0.5000)  2 Co 2.46
Co (0.0000, 0.0000, 0.0000)  2 Li 2.46

Calculated values
The density of states at the Fermi level comes out at 0.420 states/eV/atom.

=====

The winner here is <ii>, beating the second structure by 138 meV per atom.

=====

<i>
This record from the Alexandria database describes crystalline Ba2LiCo at its relaxed geometry. The functional is GGA-PBE.

a b c (Å): 3.8083 3.8083 8.8298
angles (deg): 90.00 90.00 90.00
With the nearest neighbours (Å) after each atom.
Space group P4mm (No. 99)
Symmetry-distinct sites (fractional):
Ba (0.0000, 0.0000, 0.0000)  1 Co 2.91
Ba (0.5000, 0.5000, 0.4325)  1 Li 2.87
Li (0.5000, 0.5000, 0.7577)  4 Co 2.80, 1 Ba 2.87
Co (0.0000, 0.0000, 0.6701)  4 Li 2.80, 1 Ba 2.91

Calculated values
The density of states at the Fermi level comes out at 1.607 states/eV/atom.

=====

<ii>
This record from the Alexandria database describes crystalline Ba2LiCo at its relaxed geometry. The functional is GGA-PBE.

a b c (Å): 5.3649 4.2058 6.6375
angles (deg): 90.00 90.44 90.00
With the nearest neighbours (Å) after each atom.
Space group P2/m (No. 10)
Symmetry-distinct sites (fractional):
Ba (0.0000, 0.0000, 0.0000)  2 Li 3.32, 4 Co 3.41
Ba (0.5000, 0.5000, 0.5000)  2 Co 3.32, 4 Li 3.41
Li (0.0000, 0.0000, 0.5000)  6 Ba 3.32-3.41
Co (0.5000, 0.5000, 0.0000)  6 Ba 3.32-3.41

Calculated values
The density of states at the Fermi level comes out at 1.458 states/eV/atom.

=====

The winner here is <i>, beating the second structure by 153 meV per atom.

=====

<i>
This record from the Alexandria database describes crystalline BaLiCoN2 at its relaxed geometry. The functional is GGA-PBE.

a b c (Å): 10.6687 3.4598 7.5291
angles (deg): 90.00 100.08 90.00
With the nearest neighbours (Å) after each atom.
Space group C2/m (No. 12)
Symmetry-distinct sites (fractional):
Ba (0.1467, 0.0000, 0.1554)  4 N 2.77-2.88, 1 Li 2.91
Li (0.1816, 0.0000, 0.5477)  4 N 1.97-2.12
Co (0.0569, 0.5000, 0.6626)  4 N 1.88-1.95
N (0.1048, 0.0000, 0.7668)  2 Co 1.93, 1 Li 1.97
N (0.1181, 0.5000, 0.4329)  2 Co 1.88-1.95, 2 Li 2.00

Calculated values
The density of states at the Fermi level comes out at 0.657 states/eV/atom.

=====

<ii>
This record from the Alexandria database describes crystalline BaLiCoN2 at its relaxed geometry. The functional is GGA-PBE.

a b c (Å): 3.9782 3.9782 5.0838
angles (deg): 90.00 90.00 90.00
With the nearest neighbours (Å) after each atom.
Space group P4/mmm (No. 123)
Symmetry-distinct sites (fractional):
Ba (0.0000, 0.0000, 0.0000)  2 Co 2.54, 4 Li 2.81
Li (0.5000, 0.5000, 0.0000)  4 Ba 2.81
Co (0.0000, 0.0000, 0.5000)  4 N 1.99
N (0.0000, 0.5000, 0.5000)  2 Co 1.99

Calculated values
The density of states at the Fermi level comes out at 0.580 states/eV/atom.

=====

The winner here is <i>, beating the second structure by 1285 meV per atom.

=====

<i>
This record from the Alexandria database describes crystalline BaMg3Co at its relaxed geometry. The functional is GGA-PBE.

a b c (Å): 5.0751 5.0751 5.0751
angles (deg): 90.00 90.00 90.00
With the nearest neighbours (Å) after each atom.
Space group Pm-3m (No. 221)
Symmetry-distinct sites (fractional):
Ba (0.0000, 0.0000, 0.0000)  12 Mg 3.59
Mg (0.0000, 0.5000, 0.5000)  2 Co 2.54
Co (0.5000, 0.5000, 0.5000)  6 Mg 2.54

Calculated values
The density of states at the Fermi level comes out at 0.851 states/eV/atom.

=====

<ii>
This record from the Alexandria database describes crystalline BaMg3Co at its relaxed geometry. The functional is GGA-PBE.

a b c (Å): 6.6600 6.6600 6.6600
angles (deg): 90.00 90.00 90.00
With the nearest neighbours (Å) after each atom.
Space group Pm-3m (No. 221)
Symmetry-distinct sites (fractional):
Ba (0.0000, 0.0000, 0.0000)  6 Mg 3.33
Mg (0.0000, 0.0000, 0.5000)  2 Ba 3.33
Co (0.5000, 0.5000, 0.5000)  12 Mg 4.71

Calculated values
The density of states at the Fermi level comes out at 1.005 states/eV/atom.

=====

The winner here is <i>, beating the second structure by 1614 meV per atom.

=====

<i>
This record from the Alexandria database describes crystalline BaMg6Co at its relaxed geometry. The functional is GGA-PBE.

a b c (Å): 4.8086 6.1697 14.2357
angles (deg): 90.00 90.00 90.00
With the nearest neighbours (Å) after each atom.
Space group Amm2 (No. 38)
Symmetry-distinct sites (fractional):
Ba (0.0000, 0.0000, 0.0000)  8 Mg 3.47-3.73, 2 Co 3.54
Mg (0.0000, 0.2370, 0.7361)  1 Co 2.59
Mg (0.5000, 0.0000, 0.1760)  8 Mg 3.02-3.36
Mg (0.5000, 0.0000, 0.5831)  8 Mg 3.36-3.56
Mg (0.5000, 0.2313, 0.3687)  2 Co 2.80, 4 Mg 2.85-3.09
Co (0.0000, 0.0000, 0.3775)  6 Mg 2.59-2.80

Calculated values
The density of states at the Fermi level comes out at 0.781 states/eV/atom.

=====

<ii>
This record from the Alexandria database describes crystalline BaMg6Co at its relaxed geometry. The functional is GGA-PBE.

a b c (Å): 4.5596 6.2253 14.7772
angles (deg): 90.00 90.00 90.00
With the nearest neighbours (Å) after each atom.
Space group Amm2 (No. 38)
Symmetry-distinct sites (fractional):
Ba (0.0000, 0.0000, 0.0000)  4 Mg 3.35-3.42, 2 Co 3.44
Mg (0.0000, 0.0000, 0.4035)  6 Mg 3.02-3.32
Mg (0.0000, 0.2405, 0.2026)  2 Co 2.76, 3 Mg 2.89-2.99
Mg (0.5000, 0.0000, 0.5961)  4 Mg 3.21, 2 Co 3.32
Mg (0.5000, 0.2457, 0.8230)  1 Co 2.71, 4 Mg 2.89-3.02
Co (0.5000, 0.0000, 0.1744)  6 Mg 2.71-2.76

Calculated values
The density of states at the Fermi level comes out at 0.830 states/eV/atom.

=====

The winner here is <ii>, beating the second structure by 5 meV per atom.

=====

<i>
This record from the Alexandria database describes crystalline BaMgCo3 at its relaxed geometry. The functional is GGA-PBE.

a b c (Å): 4.8913 4.8913 4.8913
angles (deg): 90.00 90.00 90.00
With the nearest neighbours (Å) after each atom.
Space group Pm-3m (No. 221)
Symmetry-distinct sites (fractional):
Ba (0.0000, 0.0000, 0.0000)  6 Co 2.45
Mg (0.5000, 0.5000, 0.5000)  12 Co 3.46
Co (0.0000, 0.0000, 0.5000)  2 Ba 2.45

Calculated values
The density of states at the Fermi level comes out at 0.935 states/eV/atom.

=====

<ii>
This record from the Alexandria database describes crystalline BaMgCo3 at its relaxed geometry. The functional is GGA-PBE.

a b c (Å): 4.7912 4.7912 4.7912
angles (deg): 90.00 90.00 90.00
With the nearest neighbours (Å) after each atom.
Space group Pm-3m (No. 221)
Symmetry-distinct sites (fractional):
Ba (0.0000, 0.0000, 0.0000)  12 Co 3.39
Mg (0.5000, 0.5000, 0.5000)  6 Co 2.40
Co (0.0000, 0.5000, 0.5000)  2 Mg 2.40

Calculated values
The density of states at the Fermi level comes out at 1.831 states/eV/atom.

=====

The winner here is <ii>, beating the second structure by 878 meV per atom.